--- w ---
Computed, not measured: ZrBr at its PBEsol-relaxed geometry at the SCAN level of DFT.

Lattice parameters (Å, degrees): 3.4726 3.4726 9.9835 103.95 103.95 60.07
With the nearest neighbours (Å) after each atom.
Sites, in units of the cell vectors:
Zr 0.1104 0.1104 0.3779  3 Br 2.74
Zr 0.8896 0.8896 0.6221  3 Br 2.74
Br 0.3536 0.3536 0.1827  3 Zr 2.74
Br 0.6464 0.6464 0.8173  3 Zr 2.74

Output
Total moment = 0.00 μB/f.u.

=====

--- x ---
Computed, not measured: ZrBr at its PBEsol-relaxed geometry at the SCAN level of DFT.

Lattice parameters (Å, degrees): 6.2929 6.2929 6.2929 144.60 144.60 50.94
With the nearest neighbours (Å) after each atom.
Sites, in units of the cell vectors:
Zr 0.3750 0.6250 0.7500  4 Br 2.71
Zr 0.6250 0.3750 0.2500  4 Br 2.71
Br 0.1250 0.8750 0.2500  4 Zr 2.71
Br 0.8750 0.1250 0.7500  4 Zr 2.71

Output
Total moment = 0.00 μB/f.u.

=====

Of them, w has the highest stability.

=====

--- w ---
Computed, not measured: ZrBr at its PBEsol-relaxed geometry at the SCAN level of DFT.

Lattice parameters (Å, degrees): 3.3937 3.3937 9.7311 90.00 90.00 120.00
With the nearest neighbours (Å) after each atom.
Sites, in units of the cell vectors:
Zr 0.3333 0.6667 0.1268  3 Br 2.74
Zr 0.6667 0.3333 0.8732  3 Br 2.74
Br 0.3333 0.6667 0.6759  3 Zr 2.74
Br 0.6667 0.3333 0.3241  3 Zr 2.74

Output
Total moment = 0.13 μB/f.u.

=====

--- x ---
Computed, not measured: ZrBr at its PBEsol-relaxed geometry at the SCAN level of DFT.

Lattice parameters (Å, degrees): 3.2550 3.2550 8.8866 90.00 90.00 90.00
With the nearest neighbours (Å) after each atom.
Sites, in units of the cell vectors:
Zr 0.2500 0.2500 0.1327  4 Br 2.85
Zr 0.7500 0.7500 0.8673  4 Br 2.85
Br 0.2500 0.2500 0.6782  4 Zr 2.85
Br 0.7500 0.7500 0.3218  4 Zr 2.85

Output
Total moment = 0.00 μB/f.u.

=====

Of them, w has the highest stability.

=====

--- w ---
Computed, not measured: CaC3 at its PBEsol-relaxed geometry at the SCAN level of DFT.

Lattice parameters (Å, degrees): 3.4532 3.4532 3.4532 90.00 90.00 90.00
With the nearest neighbours (Å) after each atom.
Sites, in units of the cell vectors:
Ca 0.0000 0.0000 0.0000  12 C 2.44
C 0.0000 0.5000 0.5000  4 Ca 2.44, 8 C 2.44
C 0.5000 0.0000 0.5000  4 Ca 2.44, 8 C 2.44
C 0.5000 0.5000 0.0000  4 Ca 2.44, 8 C 2.44

Output
Total moment = 0.00 μB/f.u.

=====

--- x ---
Computed, not measured: CaC3 at its PBEsol-relaxed geometry at the SCAN level of DFT.

Lattice parameters (Å, degrees): 5.2671 5.2671 5.0537 90.00 90.00 128.09
With the nearest neighbours (Å) after each atom.
Sites, in units of the cell vectors:
Ca 0.1427 0.8573 0.7500  4 C 2.49-2.55
Ca 0.8573 0.1427 0.2500  4 C 2.49-2.55
C 0.2426 0.4529 0.7500  2 C 1.40-1.44
C 0.4529 0.2426 0.2500  2 C 1.40-1.44
C 0.4719 0.5281 0.2500  2 C 1.44
C 0.5281 0.4719 0.7500  2 C 1.44
C 0.5471 0.7574 0.7500  2 C 1.40-1.44
C 0.7574 0.5471 0.2500  2 C 1.40-1.44

Output
Total moment = 0.00 μB/f.u.

=====

Of them, x has the highest stability.

=====

--- w ---
Computed, not measured: CaC3 at its PBEsol-relaxed geometry at the SCAN level of DFT.

Lattice parameters (Å, degrees): 4.2807 4.2807 4.2807 132.40 132.40 69.60
With the nearest neighbours (Å) after each atom.
Sites, in units of the cell vectors:
Ca 0.0000 0.0000 0.0000  12 C 2.44-2.46
C 0.2500 0.7500 0.5000  8 C 2.44-2.46, 4 Ca 2.46
C 0.5000 0.5000 0.0000  4 Ca 2.44, 8 C 2.46
C 0.7500 0.2500 0.5000  8 C 2.44-2.46, 4 Ca 2.46

Output
Total moment = 0.00 μB/f.u.

=====

--- x ---
Computed, not measured: CaC3 at its PBEsol-relaxed geometry at the SCAN level of DFT.

Lattice parameters (Å, degrees): 3.8370 3.8370 4.0210 90.00 90.00 137.79
With the nearest neighbours (Å) after each atom.
Sites, in units of the cell vectors:
Ca 0.0000 0.0000 0.0000  4 C 2.44
C 0.3073 0.6927 0.5000  1 C 1.38
C 0.5000 0.5000 0.5000  2 C 1.38
C 0.6927 0.3073 0.5000  1 C 1.38

Output
Total moment = 0.00 μB/f.u.

=====

Of them, x has the highest stability.

=====

--- w ---
Computed, not measured: CaC at its PBEsol-relaxed geometry at the SCAN level of DFT.

Lattice parameters (Å, degrees): 2.9987 2.9987 14.4284 90.00 90.00 120.00
With the nearest neighbours (Å) after each atom.
Sites, in units of the cell vectors:
Ca 0.3333 0.6667 0.1203  6 C 2.55
Ca 0.3333 0.6667 0.3797  6 C 2.55
Ca 0.6667 0.3333 0.6203  6 C 2.55
Ca 0.6667 0.3333 0.8797  6 C 2.55
C 0.0000 0.0000 0.2500  3 C 1.73
C 0.0000 0.0000 0.7500  3 C 1.73
C 0.3333 0.6667 0.7500  3 C 1.73
C 0.6667 0.3333 0.2500  3 C 1.73

Output
Total moment = 0.00 μB/f.u.

=====

--- x ---
Computed, not measured: CaC at its PBEsol-relaxed geometry at the SCAN level of DFT.

Lattice parameters (Å, degrees): 3.0792 3.0792 3.0792 90.00 90.00 90.00
With the nearest neighbours (Å) after each atom.
Sites, in units of the cell vectors:
Ca 0.0000 0.0000 0.0000  8 C 2.67
C 0.5000 0.5000 0.5000  8 Ca 2.67

Output
Total moment = 0.00 μB/f.u.

=====

--- y ---
Computed, not measured: CaC at its PBEsol-relaxed geometry at the SCAN level of DFT.

Lattice parameters (Å, degrees): 3.9267 5.2213 5.2213 103.11 90.00 90.00
With the nearest neighbours (Å) after each atom.
Sites, in units of the cell vectors:
Ca 0.0000 0.0000 0.0000  3 C 2.48-2.71
Ca 0.5000 0.1682 0.5794  4 C 2.63-2.71
Ca 0.5000 0.5794 0.1682  4 C 2.63-2.71
C 0.0000 0.4735 0.8022  1 C 1.35
C 0.0000 0.6174 0.6174  2 C 1.35
C 0.0000 0.8022 0.4735  1 C 1.35

Output
Total moment = 0.00 μB/f.u.

=====

Of them, y has the highest stability.

=====

--- w ---
Computed, not measured: CaC at its PBEsol-relaxed geometry at the SCAN level of DFT.

Lattice parameters (Å, degrees): 4.9878 4.9878 4.9878 50.92 50.92 50.92
With the nearest neighbours (Å) after each atom.
Sites, in units of the cell vectors:
Ca 0.2468 0.2468 0.2468  4 C 2.52-2.54
Ca 0.7532 0.7532 0.7532  4 C 2.52-2.54
C 0.0514 0.0514 0.0514  1 C 1.34
C 0.9486 0.9486 0.9486  1 C 1.34

Output
Total moment = 0.00 μB/f.u.

=====

--- x ---
Computed, not measured: CaC at its PBEsol-relaxed geometry at the SCAN level of DFT.

Lattice parameters (Å, degrees): 6.5390 6.5390 3.3220 90.00 90.00 120.00
With the nearest neighbours (Å) after each atom.
Sites, in units of the cell vectors:
Ca 0.0000 0.5000 0.0000  4 C 2.51
Ca 0.5000 0.0000 0.0000  4 C 2.51
Ca 0.5000 0.5000 0.0000  4 C 2.51
C 0.0000 0.0000 0.0000  6 Ca 3.27, 2 C 3.32
C 0.3333 0.6667 0.5000  6 Ca 2.51
C 0.6667 0.3333 0.5000  6 Ca 2.51

Output
Total moment = 1.80 μB/f.u.

=====

Of them, w has the highest stability.

=====

--- w ---
Computed, not measured: CaC2 at its PBEsol-relaxed geometry at the SCAN level of DFT.

Lattice parameters (Å, degrees): 4.6914 4.6914 4.7584 90.00 90.00 133.71
With the nearest neighbours (Å) after each atom.
Sites, in units of the cell vectors:
Ca 0.1456 0.8544 0.7500  10 C 2.60-2.66
Ca 0.8544 0.1456 0.2500  10 C 2.60-2.66
C 0.4383 0.5617 0.6035  2 C 1.39-1.45
C 0.4383 0.5617 0.8965  2 C 1.39-1.45
C 0.5617 0.4383 0.1035  2 C 1.39-1.45
C 0.5617 0.4383 0.3965  2 C 1.39-1.45

Output
Total moment = 0.00 μB/f.u.

=====

--- x ---
Computed, not measured: CaC2 at its PBEsol-relaxed geometry at the SCAN level of DFT.

Lattice parameters (Å, degrees): 4.0390 4.0390 4.0390 124.89 106.16 98.60
With the nearest neighbours (Å) after each atom.
Sites, in units of the cell vectors:
Ca 0.0000 0.0000 0.0000  8 C 2.59-2.71
C 0.3703 0.5000 0.8703  1 C 1.26
C 0.6297 0.5000 0.1297  1 C 1.26

Output
Total moment = 0.00 μB/f.u.

=====

Of them, x has the highest stability.

=====

--- w ---
Computed, not measured: CaC2 at its PBEsol-relaxed geometry at the SCAN level of DFT.

Lattice parameters (Å, degrees): 3.8499 3.8499 7.3126 103.84 103.84 64.23
With the nearest neighbours (Å) after each atom.
Sites, in units of the cell vectors:
Ca 0.1710 0.8290 0.7500  8 C 2.54-2.80
Ca 0.8290 0.1710 0.2500  8 C 2.54-2.80
C 0.1444 0.4235 0.0610  1 C 1.26
C 0.4235 0.1444 0.5610  1 C 1.26
C 0.5765 0.8556 0.4390  1 C 1.26
C 0.8556 0.5765 0.9390  1 C 1.26

Output
Total moment = 0.00 μB/f.u.

=====

--- x ---
Computed, not measured: CaC2 at its PBEsol-relaxed geometry at the SCAN level of DFT.

Lattice parameters (Å, degrees): 4.0063 4.0063 5.2724 94.55 94.55 78.93
With the nearest neighbours (Å) after each atom.
Sites, in units of the cell vectors:
Ca 0.1762 0.1762 0.2658  9 C 2.51-2.74
Ca 0.8238 0.8238 0.7342  9 C 2.51-2.74
C 0.2312 0.2312 0.7589  1 C 1.32
C 0.4193 0.4193 0.9036  2 C 1.32-1.35
C 0.5807 0.5807 0.0964  2 C 1.32-1.35
C 0.7688 0.7688 0.2411  1 C 1.32

Output
Total moment = 0.00 μB/f.u.

=====

--- y ---
Computed, not measured: CaC2 at its PBEsol-relaxed geometry at the SCAN level of DFT.

Lattice parameters (Å, degrees): 3.7999 3.7999 7.9474 90.00 90.00 120.00
With the nearest neighbours (Å) after each atom.
Sites, in units of the cell vectors:
Ca 0.0000 0.0000 0.0000  6 C 2.58
Ca 0.0000 0.0000 0.5000  6 C 2.58
C 0.3333 0.6667 0.1710  1 C 1.26
C 0.3333 0.6667 0.3290  1 C 1.26
C 0.6667 0.3333 0.6710  1 C 1.26
C 0.6667 0.3333 0.8290  1 C 1.26

Output
Total moment = 0.00 μB/f.u.

=====

Of them, w has the highest stability.

=====

--- w ---
Computed, not measured: CaOsC3 at its PBEsol-relaxed geometry at the SCAN level of DFT.

Lattice parameters (Å, degrees): 3.9683 3.9683 3.9683 90.00 90.00 90.00
With the nearest neighbours (Å) after each atom.
Sites, in units of the cell vectors:
Ca 0.0000 0.0000 0.0000  6 C 1.98
Os 0.5000 0.5000 0.5000  12 C 2.81
C 0.0000 0.0000 0.5000  2 Ca 1.98
C 0.0000 0.5000 0.0000  2 Ca 1.98
C 0.5000 0.0000 0.0000  2 Ca 1.98

Output
Total moment = 0.16 μB/f.u.

=====

--- x ---
Computed, not measured: CaOsC3 at its PBEsol-relaxed geometry at the SCAN level of DFT.

Lattice parameters (Å, degrees): 3.9809 3.9809 3.9809 90.00 90.00 90.00
With the nearest neighbours (Å) after each atom.
Sites, in units of the cell vectors:
Ca 0.0000 0.0000 0.0000  12 C 2.81
Os 0.5000 0.5000 0.5000  6 C 1.99
C 0.0000 0.5000 0.5000  2 Os 1.99
C 0.5000 0.0000 0.5000  2 Os 1.99
C 0.5000 0.5000 0.0000  2 Os 1.99

Output
Total moment = 0.00 μB/f.u.

=====

Of them, x has the highest stability.

=====

--- w ---
Computed, not measured: CaScC3 at its PBEsol-relaxed geometry at the SCAN level of DFT.

Lattice parameters (Å, degrees): 4.1872 4.1872 4.1872 90.00 90.00 90.00
With the nearest neighbours (Å) after each atom.
Sites, in units of the cell vectors:
Ca 0.0000 0.0000 0.0000  12 C 2.96
Sc 0.5000 0.5000 0.5000  6 C 2.09
C 0.0000 0.5000 0.5000  2 Sc 2.09
C 0.5000 0.0000 0.5000  2 Sc 2.09
C 0.5000 0.5000 0.0000  2 Sc 2.09

Output
Total moment = 0.00 μB/f.u.

=====

--- x ---
Computed, not measured: CaScC3 at its PBEsol-relaxed geometry at the SCAN level of DFT.

Lattice parameters (Å, degrees): 4.1559 4.1559 4.1559 90.00 90.00 90.00
With the nearest neighbours (Å) after each atom.
Sites, in units of the cell vectors:
Ca 0.0000 0.0000 0.0000  6 C 2.08
Sc 0.5000 0.5000 0.5000  12 C 2.94
C 0.0000 0.0000 0.5000  2 Ca 2.08
C 0.0000 0.5000 0.0000  2 Ca 2.08
C 0.5000 0.0000 0.0000  2 Ca 2.08

Output
Total moment = 0.00 μB/f.u.

=====

Of them, w has the highest stability.

=====

--- w ---
Computed, not measured: Cd3C at its PBEsol-relaxed geometry at the SCAN level of DFT.

Lattice parameters (Å, degrees): 5.2306 5.2306 5.2306 116.10 116.10 116.10
With the nearest neighbours (Å) after each atom.
Sites, in units of the cell vectors:
Cd 0.0000 0.5000 0.5000  4 Cd 2.77, 2 C 2.77
Cd 0.5000 0.0000 0.5000  2 C 2.77, 4 Cd 2.77
Cd 0.5000 0.5000 0.0000  4 Cd 2.77, 2 C 2.77
C 0.0000 0.0000 0.0000  6 Cd 2.77

Output
Total moment = 0.00 μB/f.u.

=====

--- x ---
Computed, not measured: Cd3C at its PBEsol-relaxed geometry at the SCAN level of DFT.

Lattice parameters (Å, degrees): 7.4875 7.4875 7.4875 26.38 26.38 26.38
With the nearest neighbours (Å) after each atom.
Sites, in units of the cell vectors:
Cd 0.0000 0.0000 0.0000  12 Cd 3.05-3.42
Cd 0.2259 0.2259 0.2259  3 C 2.35
Cd 0.7741 0.7741 0.7741  3 C 2.35
C 0.5000 0.5000 0.5000  6 Cd 2.35

Output
Total moment = 0.00 μB/f.u.

=====

--- y ---
Computed, not measured: Cd3C at its PBEsol-relaxed geometry at the SCAN level of DFT.

Lattice parameters (Å, degrees): 3.2593 3.2593 7.7325 90.00 90.00 120.00
With the nearest neighbours (Å) after each atom.
Sites, in units of the cell vectors:
Cd 0.0000 0.0000 0.0000  12 Cd 3.05-3.26
Cd 0.3333 0.6667 0.3108  3 C 2.38
Cd 0.3333 0.6667 0.6892  3 C 2.38
C 0.0000 0.0000 0.5000  6 Cd 2.38

Output
Total moment = 0.38 μB/f.u.

=====

Of them, x has the highest stability.

=====

--- w ---
Computed, not measured: CdC2 at its PBEsol-relaxed geometry at the SCAN level of DFT.

Lattice parameters (Å, degrees): 4.6920 4.6920 4.6920 114.59 114.59 99.66
With the nearest neighbours (Å) after each atom.
Sites, in units of the cell vectors:
Cd 0.2500 0.2500 0.0000  8 C 2.61
Cd 0.7500 0.7500 0.0000  8 C 2.61
C 0.0890 0.5890 0.6779  1 C 1.28
C 0.4110 0.0890 0.5000  1 C 1.28
C 0.5890 0.9110 0.5000  1 C 1.28
C 0.9110 0.4110 0.3221  1 C 1.28

Output
Total moment = 0.24 μB/f.u.

=====

--- x ---
Computed, not measured: CdC2 at its PBEsol-relaxed geometry at the SCAN level of DFT.

Lattice parameters (Å, degrees): 6.9890 6.4021 3.3519 85.49 65.95 28.56
With the nearest neighbours (Å) after each atom.
Sites, in units of the cell vectors:
Cd 0.0000 0.0000 0.0000  2 Cd 2.60
C 0.2495 0.2495 0.7505  2 C 1.30
C 0.7505 0.7505 0.2495  2 C 1.30

Output
Total moment = 0.00 μB/f.u.

=====

--- y ---
Computed, not measured: CdC2 at its PBEsol-relaxed geometry at the SCAN level of DFT.

Lattice parameters (Å, degrees): 9.0760 9.0760 2.6160 90.00 90.00 120.00
With the nearest neighbours (Å) after each atom.
Sites, in units of the cell vectors:
Cd 0.0000 0.0000 0.0000  2 Cd 2.62
Cd 0.3333 0.6667 0.5000  2 Cd 2.62
Cd 0.6667 0.3333 0.5000  2 Cd 2.62
C 0.0000 0.3304 0.0000  2 C 1.31
C 0.0000 0.3349 0.5000  2 C 1.31
C 0.3304 0.0000 0.0000  2 C 1.31
C 0.3349 0.0000 0.5000  2 C 1.31
C 0.6651 0.6651 0.5000  2 C 1.31
C 0.6696 0.6696 0.0000  2 C 1.31

Output
Total moment = 0.00 μB/f.u.

=====

Of them, x has the highest stability.